(1)
First-principles (PBE) data for a relaxed BaC4 crystal, as listed in Alexandria via LeMat-Bulk.

a b c (Å): 4.7817 4.7817 4.7671
angles (deg): 90.14 90.14 51.54
With the nearest neighbours (Å) after each atom.
Fractional coordinates of all 5 atoms:
Ba 0.0000 0.0000 0.0000  10 C 2.98-3.27
C 0.2360 0.2360 0.5383  1 C 1.31
C 0.3217 0.3217 0.3121  1 C 1.31
C 0.6783 0.6783 0.6879  1 C 1.31
C 0.7640 0.7640 0.4617  1 C 1.31

Calculated values
Raw total energy in eV/atom: -6.418
D(E_F) in states/eV/f.u.: 0.45
Distance to the lowest polymorph of the same formula in meV/atom: 0
ΔH_f (0 K) in meV per atom: 1345



(2)
First-principles (PBE) data for a relaxed BaC crystal, as listed in Alexandria via LeMat-Bulk.

a b c (Å): 7.6031 2.9370 8.0398
angles (deg): 90.00 90.00 90.00
With the nearest neighbours (Å) after each atom.
Fractional coordinates of all 8 atoms:
Ba 0.2071 0.2500 0.2102  2 Ba 2.94, 6 C 2.95-3.04
Ba 0.2929 0.7500 0.7102  2 Ba 2.94, 6 C 2.95-3.04
Ba 0.7071 0.2500 0.2898  2 Ba 2.94, 6 C 2.95-3.04
Ba 0.7929 0.7500 0.7898  2 Ba 2.94, 6 C 2.95-3.04
C 0.0089 0.2500 0.5383  2 C 1.60
C 0.4911 0.7500 0.0383  2 C 1.60
C 0.5089 0.2500 0.9617  2 C 1.60
C 0.9911 0.7500 0.4617  2 C 1.60

Calculated values
Raw total energy in eV/atom: -4.787
D(E_F) in states/eV/f.u.: 1.83
Distance to the lowest polymorph of the same formula in meV/atom: 708
ΔH_f (0 K) in meV per atom: 786



(3)
First-principles (PBE) data for a relaxed BaC2 crystal, as listed in Alexandria via LeMat-Bulk.

a b c (Å): 5.7755 5.7755 5.7755
angles (deg): 151.42 105.35 81.78
With the nearest neighbours (Å) after each atom.
Fractional coordinates of all 6 atoms:
Ba 0.2030 0.2030 0.0000  2 Ba 2.85, 10 C 3.00-3.05
Ba 0.7970 0.7970 0.0000  2 Ba 2.85, 10 C 3.00-3.05
C 0.2858 0.5000 0.7858  2 C 1.61
C 0.3937 0.0000 0.3937  3 C 1.49-1.61
C 0.6063 0.0000 0.6063  3 C 1.49-1.61
C 0.7142 0.5000 0.2142  2 C 1.61

Calculated values
Raw total energy in eV/atom: -6.092
D(E_F) in states/eV/f.u.: 0.84
ΔH_f (0 K) in meV per atom: 698



(4)
First-principles (PBE) data for a relaxed BaC crystal, as listed in Alexandria via LeMat-Bulk.

a b c (Å): 7.0643 7.0643 7.0643
angles (deg): 109.47 109.47 109.47
With the nearest neighbours (Å) after each atom.
Fractional coordinates of all 8 atoms:
Ba 0.0000 0.0000 0.4201  3 C 2.80
Ba 0.0000 0.4201 0.0000  3 C 2.80
Ba 0.4201 0.0000 0.0000  3 C 2.80
Ba 0.5799 0.5799 0.5799  3 C 2.80
C 0.0000 0.0000 0.8649  3 C 1.56
C 0.0000 0.8649 0.0000  3 C 1.56
C 0.1351 0.1351 0.1351  3 C 1.56
C 0.8649 0.0000 0.0000  3 C 1.56

Calculated values
Raw total energy in eV/atom: -5.201
D(E_F) in states/eV/f.u.: 1.08
Distance to the lowest polymorph of the same formula in meV/atom: 294
ΔH_f (0 K) in meV per atom: 372



(5)
First-principles (PBE) data for a relaxed BaC crystal, as listed in Alexandria via LeMat-Bulk.

a b c (Å): 4.2875 4.2875 6.6509
angles (deg): 90.00 90.00 120.00
With the nearest neighbours (Å) after each atom.
Fractional coordinates of all 4 atoms:
Ba 0.3333 0.6667 0.2500  6 C 2.98
Ba 0.6667 0.3333 0.7500  6 C 2.98
C 0.0000 0.0000 0.0000  6 Ba 2.98, 2 C 3.33
C 0.0000 0.0000 0.5000  6 Ba 2.98, 2 C 3.33

Calculated values
Raw total energy in eV/atom: -4.166
D(E_F) in states/eV/f.u.: 1.35
Distance to the lowest polymorph of the same formula in meV/atom: 1329
ΔH_f (0 K) in meV per atom: 1408



(6)
First-principles (PBE) data for a relaxed BaC crystal, as listed in Alexandria via LeMat-Bulk.

a b c (Å): 8.4426 8.4426 8.4426
angles (deg): 159.34 152.91 34.31
With the nearest neighbours (Å) after each atom.
Fractional coordinates of all 4 atoms:
Ba 0.3854 0.1354 0.2500  6 C 2.91-2.96, 2 Ba 3.03
Ba 0.6146 0.8646 0.7500  6 C 2.91-2.96, 2 Ba 3.03
C 0.0218 0.2718 0.7500  2 C 1.67
C 0.9782 0.7282 0.2500  2 C 1.67

Calculated values
Raw total energy in eV/atom: -4.853
D(E_F) in states/eV/f.u.: 1.06
Distance to the lowest polymorph of the same formula in meV/atom: 642
ΔH_f (0 K) in meV per atom: 720



(7)
First-principles (PBE) data for a relaxed BaC2 crystal, as listed in Alexandria via LeMat-Bulk.

a b c (Å): 4.4006 4.4006 8.7359
angles (deg): 90.00 90.00 120.00
With the nearest neighbours (Å) after each atom.
Fractional coordinates of all 6 atoms:
Ba 0.0000 0.0000 0.0000  6 C 2.98
Ba 0.0000 0.0000 0.5000  6 C 2.98
C 0.3333 0.6667 0.1777  1 C 1.26
C 0.3333 0.6667 0.3223  1 C 1.26
C 0.6667 0.3333 0.6777  1 C 1.26
C 0.6667 0.3333 0.8223  1 C 1.26

Calculated values
Raw total energy in eV/atom: -6.662
D(E_F) in states/eV/f.u.: 0.00
ΔH_f (0 K) in meV per atom: 128



(8)
First-principles (PBE) data for a relaxed BaC2 crystal, as listed in Alexandria via LeMat-Bulk.

a b c (Å): 5.3682 5.3682 5.3682
angles (deg): 146.82 146.82 47.62
With the nearest neighbours (Å) after each atom.
Fractional coordinates of all 3 atoms:
Ba 0.0000 0.0000 0.0000  10 C 2.79-3.03, 4 Ba 3.07
C 0.2841 0.2841 0.0000  4 C 2.27
C 0.7159 0.7159 0.0000  4 C 2.27

Calculated values
Raw total energy in eV/atom: -4.326
D(E_F) in states/eV/f.u.: 1.67
ΔH_f (0 K) in meV per atom: 2464



(9)
First-principles (PBE) data for a relaxed BaC crystal, as listed in Alexandria via LeMat-Bulk.

a b c (Å): 3.0245 3.9515 8.2011
angles (deg): 90.00 90.00 90.00
With the nearest neighbours (Å) after each atom.
Fractional coordinates of all 4 atoms:
Ba 0.2500 0.0000 0.2252  6 C 2.90-2.96, 2 Ba 3.02
Ba 0.7500 0.0000 0.7748  6 C 2.90-2.96, 2 Ba 3.02
C 0.2500 0.5000 0.9564  2 C 1.67
C 0.7500 0.5000 0.0436  2 C 1.67

Calculated values
Raw total energy in eV/atom: -4.846
D(E_F) in states/eV/f.u.: 0.84
Distance to the lowest polymorph of the same formula in meV/atom: 649
ΔH_f (0 K) in meV per atom: 728



(10)
First-principles (PBE) data for a relaxed BaC crystal, as listed in Alexandria via LeMat-Bulk.

a b c (Å): 7.1374 7.1374 7.1374
angles (deg): 145.27 73.42 117.61
With the nearest neighbours (Å) after each atom.
Fractional coordinates of all 6 atoms:
Ba 0.0000 0.0000 0.0000  6 C 2.81-3.02
Ba 0.2966 0.4784 0.8182  3 C 2.93-2.94
Ba 0.6602 0.4784 0.1818  3 C 2.93-2.94
C 0.1085 0.7252 0.3833  1 C 1.34
C 0.2471 0.7471 0.5000  2 C 1.34
C 0.3418 0.7252 0.6167  1 C 1.34

Calculated values
Raw total energy in eV/atom: -5.495
D(E_F) in states/eV/f.u.: 0.67
Distance to the lowest polymorph of the same formula in meV/atom: 0
ΔH_f (0 K) in meV per atom: 78



(11)
First-principles (PBE) data for a relaxed Ba3CaC crystal, as listed in Alexandria via LeMat-Bulk.

a b c (Å): 5.9864 5.9864 5.9864
angles (deg): 90.00 90.00 90.00
With the nearest neighbours (Å) after each atom.
Fractional coordinates of all 5 atoms:
Ba 0.0000 0.0000 0.5000  2 C 2.99
Ba 0.0000 0.5000 0.0000  2 C 2.99
Ba 0.5000 0.0000 0.0000  2 C 2.99
Ca 0.5000 0.5000 0.5000  12 Ba 4.23
C 0.0000 0.0000 0.0000  6 Ba 2.99

Calculated values
Raw total energy in eV/atom: -2.920
D(E_F) in states/eV/f.u.: 15.23
Distance to the lowest polymorph of the same formula in meV/atom: 0
ΔH_f (0 K) in meV per atom: 478



(12)
First-principles (PBE) data for a relaxed BaCaCo2C crystal, as listed in Alexandria via LeMat-Bulk.

a b c (Å): 4.0074 4.0074 5.3558
angles (deg): 90.00 90.00 90.00
With the nearest neighbours (Å) after each atom.
Fractional coordinates of all 5 atoms:
Ba 0.0000 0.0000 0.0000  2 C 2.68, 4 Ca 2.83
Ca 0.5000 0.5000 0.0000  4 Ba 2.83
Co 0.0000 0.5000 0.5000  2 C 2.00
Co 0.5000 0.0000 0.5000  2 C 2.00
C 0.0000 0.0000 0.5000  4 Co 2.00

Calculated values
Raw total energy in eV/atom: -4.670
D(E_F) in states/eV/f.u.: 5.79
ΔH_f (0 K) in meV per atom: 802